#w
# Cu3Ag2Au8 (PBE-GGA, relaxed)
# V (A^3/atom): 19.0
data_Cu3Ag2Au8
_chemical_formula_sum 'Cu3 Ag2 Au8'
_space_group_name_H-M_alt 'P 1 2/m 1'
_space_group_IT_number 10
_cell_length_a 7.812
_cell_length_b 4.047
_cell_length_c 8.698
_cell_angle_alpha 90.00
_cell_angle_beta 116.34
_cell_angle_gamma 90.00
loop_
_space_group_symop_operation_xyz
'x,y,z'
'-x,-y,-z'
'-x,y,-z'
'x,-y,z'
loop_
_atom_site_label
_atom_site_fract_x
_atom_site_fract_y
_atom_site_fract_z
_atom_site_occupancy
Cu1 0.000 0.000 0.000 1
Cu2 0.253 0.500 0.999 1
Ag1 0.250 0.000 0.497 1
Au1 0.117 0.500 0.235 1
Au2 0.141 0.000 0.770 1
Au3 0.370 0.000 0.228 1
Au4 0.380 0.500 0.759 1

---

#x
# Cu3Ag2Au8 (PBE-GGA, relaxed)
# V (A^3/atom): 18.2
data_Cu3Ag2Au8
_chemical_formula_sum 'Cu6 Ag4 Au16'
_space_group_name_H-M_alt 'C 1 2/m 1'
_space_group_IT_number 12
_cell_length_a 12.102
_cell_length_b 7.374
_cell_length_c 5.410
_cell_angle_alpha 90.00
_cell_angle_beta 100.94
_cell_angle_gamma 90.00
loop_
_space_group_symop_operation_xyz
'x,y,z'
'-x,-y,-z'
'-x,y,-z'
'x,-y,z'
'x+1/2,y+1/2,z'
'-x+1/2,-y+1/2,-z'
'-x+1/2,y+1/2,-z'
'x+1/2,-y+1/2,z'
loop_
_atom_site_label
_atom_site_fract_x
_atom_site_fract_y
_atom_site_fract_z
_atom_site_occupancy
Cu1 0.000 0.000 0.000 1
Cu2 0.000 0.169 0.500 1
Ag1 0.192 0.000 0.731 1
Au1 0.095 0.500 0.398 1
Au2 0.110 0.310 0.934 1
Au3 0.206 0.000 0.244 1

---

What should be chosen as the least stable of them? Choose #x.

---

#w
# Cu3AgAu (PBE-GGA, relaxed)
# V (A^3/atom): 21.6
data_Cu3AgAu
_chemical_formula_sum 'Cu3 Ag1 Au1'
_space_group_name_H-M_alt 'P m -3 m'
_space_group_IT_number 221
_space_group_name_Hall '-P 4 2 3'
_cell_length_a 4.759
_cell_length_b 4.759
_cell_length_c 4.759
_cell_angle_alpha 90.00
_cell_angle_beta 90.00
_cell_angle_gamma 90.00
loop_
_atom_site_label
_atom_site_fract_x
_atom_site_fract_y
_atom_site_fract_z
_atom_site_occupancy
Cu1 0.000 0.000 0.500 1
Ag1 0.500 0.500 0.500 1
Au1 0.000 0.000 0.000 1

---

#x
# Cu3AgAu (PBE-GGA, relaxed)
# V (A^3/atom): 20.4
data_Cu3AgAu
_chemical_formula_sum 'Cu3 Ag1 Au1'
_space_group_name_H-M_alt 'P m -3 m'
_space_group_IT_number 221
_space_group_name_Hall '-P 4 2 3'
_cell_length_a 4.674
_cell_length_b 4.674
_cell_length_c 4.674
_cell_angle_alpha 90.00
_cell_angle_beta 90.00
_cell_angle_gamma 90.00
loop_
_atom_site_label
_atom_site_fract_x
_atom_site_fract_y
_atom_site_fract_z
_atom_site_occupancy
Cu1 0.000 0.000 0.500 1
Ag1 0.000 0.000 0.000 1
Au1 0.500 0.500 0.500 1

---

#y
# Cu3AgAu (PBE-GGA, relaxed)
# V (A^3/atom): 15.0
data_Cu3AgAu
_chemical_formula_sum 'Cu12 Ag4 Au4'
_space_group_name_H-M_alt 'C m c m'
_space_group_IT_number 63
_space_group_name_Hall '-C 2c 2'
_cell_length_a 4.359
_cell_length_b 12.842
_cell_length_c 5.343
_cell_angle_alpha 90.00
_cell_angle_beta 90.00
_cell_angle_gamma 90.00
loop_
_atom_site_label
_atom_site_fract_x
_atom_site_fract_y
_atom_site_fract_z
_atom_site_occupancy
Cu1 0.000 0.135 0.250 1
Cu2 0.000 0.308 0.501 1
Ag1 0.000 0.489 0.750 1
Au1 0.000 0.125 0.750 1

---

What should be chosen as the least stable of them? Choose #x.

---

#w
# Cu2AgAu (PBE-GGA, relaxed)
# V (A^3/atom): 15.3
data_Cu2AgAu
_chemical_formula_sum 'Cu6 Ag3 Au3'
_space_group_name_H-M_alt 'R 3 m'
_space_group_IT_number 160
_space_group_name_Hall 'R 3 -2"'
_cell_length_a 2.8403
_cell_length_b 2.8403
_cell_length_c 26.3358
_cell_angle_alpha 90.00
_cell_angle_beta 90.00
_cell_angle_gamma 120.00
loop_
_atom_site_label
_atom_site_fract_x
_atom_site_fract_y
_atom_site_fract_z
_atom_site_occupancy
Cu1 0.0000 0.0000 0.0000 1
Cu2 0.0000 0.0000 0.2615 1
Ag1 0.0000 0.0000 0.5117 1
Au1 0.0000 0.0000 0.7497 1

---

#x
# Cu2AgAu (PBE-GGA, relaxed)
# V (A^3/atom): 16.8
data_Cu2AgAu
_chemical_formula_sum 'Cu4 Ag2 Au2'
_space_group_name_H-M_alt 'I m m m'
_space_group_IT_number 71
_space_group_name_Hall '-I 2 2'
_cell_length_a 2.706
_cell_length_b 4.781
_cell_length_c 10.421
_cell_angle_alpha 90.00
_cell_angle_beta 90.00
_cell_angle_gamma 90.00
loop_
_atom_site_label
_atom_site_fract_x
_atom_site_fract_y
_atom_site_fract_z
_atom_site_occupancy
Cu1 0.000 0.000 0.248 1
Ag1 0.000 0.000 0.500 1
Au1 0.000 0.000 0.000 1

---

#y
# Cu2AgAu (PBE-GGA, relaxed)
# V (A^3/atom): 15.0
data_Cu2AgAu
_chemical_formula_sum 'Cu4 Ag2 Au2'
_space_group_name_H-M_alt 'C 1 m 1'
_space_group_IT_number 8
_cell_length_a 9.669
_cell_length_b 2.825
_cell_length_c 4.642
_cell_angle_alpha 90.00
_cell_angle_beta 108.76
_cell_angle_gamma 90.00
loop_
_space_group_symop_operation_xyz
'x,y,z'
'x,-y,z'
'x+1/2,y+1/2,z'
'x+1/2,-y+1/2,z'
loop_
_atom_site_label
_atom_site_fract_x
_atom_site_fract_y
_atom_site_fract_z
_atom_site_occupancy
Cu1 0.000 0.000 0.000 1
Cu2 0.218 0.500 0.300 1
Ag1 0.473 0.000 0.482 1
Au1 0.249 0.000 0.822 1

---

What should be chosen as the least stable of them? Choose #x.

---

#w
# Cu2AgAu (PBE-GGA, relaxed)
# V (A^3/atom): 15.0
data_Cu2AgAu
_chemical_formula_sum 'Cu4 Ag2 Au2'
_space_group_name_H-M_alt 'I 4/m m m'
_space_group_IT_number 139
_space_group_name_Hall '-I 4 2'
_cell_length_a 4.034
_cell_length_b 4.034
_cell_length_c 7.398
_cell_angle_alpha 90.00
_cell_angle_beta 90.00
_cell_angle_gamma 90.00
loop_
_atom_site_label
_atom_site_fract_x
_atom_site_fract_y
_atom_site_fract_z
_atom_site_occupancy
Cu1 0.000 0.500 0.250 1
Ag1 0.000 0.000 0.000 1
Au1 0.000 0.000 0.500 1

---

#x
# Cu2AgAu (PBE-GGA, relaxed)
# V (A^3/atom): 15.4
data_Cu2AgAu
_chemical_formula_sum 'Cu6 Ag3 Au3'
_space_group_name_H-M_alt 'R 3 m'
_space_group_IT_number 160
_space_group_name_Hall 'R 3 -2"'
_cell_length_a 4.4384
_cell_length_b 4.4384
_cell_length_c 10.8075
_cell_angle_alpha 90.00
_cell_angle_beta 90.00
_cell_angle_gamma 120.00
loop_
_atom_site_label
_atom_site_fract_x
_atom_site_fract_y
_atom_site_fract_z
_atom_site_occupancy
Cu1 0.0000 0.0000 0.0000 1
Cu2 0.0000 0.0000 0.2492 1
Ag1 0.0000 0.0000 0.7496 1
Au1 0.0000 0.0000 0.4990 1

---

#y
# Cu2AgAu (PBE-GGA, relaxed)
# V (A^3/atom): 15.3
data_Cu2AgAu
_chemical_formula_sum 'Cu4 Ag2 Au2'
_space_group_name_H-M_alt 'C 1 2/m 1'
_space_group_IT_number 12
_cell_length_a 8.922
_cell_length_b 2.892
_cell_length_c 4.844
_cell_angle_alpha 90.00
_cell_angle_beta 101.46
_cell_angle_gamma 90.00
loop_
_space_group_symop_operation_xyz
'x,y,z'
'-x,-y,-z'
'-x,y,-z'
'x,-y,z'
'x+1/2,y+1/2,z'
'-x+1/2,-y+1/2,-z'
'-x+1/2,y+1/2,-z'
'x+1/2,-y+1/2,z'
loop_
_atom_site_label
_atom_site_fract_x
_atom_site_fract_y
_atom_site_fract_z
_atom_site_occupancy
Cu1 0.248 0.000 0.246 1
Ag1 0.000 0.000 0.500 1
Au1 0.000 0.500 0.000 1

---

#z
# Cu2AgAu (PBE-GGA, relaxed)
# V (A^3/atom): 16.6
data_Cu2AgAu
_chemical_formula_sum 'Cu8 Ag4 Au4'
_space_group_name_H-M_alt 'I -4 2 d'
_space_group_IT_number 122
_space_group_name_Hall 'I -4 2bw'
_cell_length_a 7.036
_cell_length_b 7.036
_cell_length_c 5.377
_cell_angle_alpha 90.00
_cell_angle_beta 90.00
_cell_angle_gamma 90.00
loop_
_atom_site_label
_atom_site_fract_x
_atom_site_fract_y
_atom_site_fract_z
_atom_site_occupancy
Cu1 0.246 0.250 0.125 1
Ag1 0.000 0.000 0.500 1
Au1 0.000 0.000 0.000 1

---

What should be chosen as the least stable of them? Choose #z.

---

#w
# Cu2AgAu (PBE-GGA, relaxed)
# V (A^3/atom): 15.0
data_Cu2AgAu
_chemical_formula_sum 'Cu4 Ag2 Au2'
_space_group_name_H-M_alt 'C m m m'
_space_group_IT_number 65
_space_group_name_Hall '-C 2 2'
_cell_length_a 5.781
_cell_length_b 7.376
_cell_length_c 2.823
_cell_angle_alpha 90.00
_cell_angle_beta 90.00
_cell_angle_gamma 90.00
loop_
_atom_site_label
_atom_site_fract_x
_atom_site_fract_y
_atom_site_fract_z
_atom_site_occupancy
Cu1 0.250 0.250 0.000 1
Ag1 0.000 0.000 0.500 1
Au1 0.000 0.500 0.500 1

---

#x
# Cu2AgAu (PBE-GGA, relaxed)
# V (A^3/atom): 15.0
data_Cu2AgAu
_chemical_formula_sum 'Cu4 Ag2 Au2'
_space_group_name_H-M_alt 'I m m 2'
_space_group_IT_number 44
_cell_length_a 3.044
_cell_length_b 4.419
_cell_length_c 8.943
_cell_angle_alpha 90.00
_cell_angle_beta 90.00
_cell_angle_gamma 90.00
loop_
_space_group_symop_operation_xyz
'x,y,z'
'-x,-y,z'
'-x,y,z'
'x,-y,z'
'x+1/2,y+1/2,z+1/2'
'-x+1/2,-y+1/2,z+1/2'
'-x+1/2,y+1/2,z+1/2'
'x+1/2,-y+1/2,z+1/2'
loop_
_atom_site_label
_atom_site_fract_x
_atom_site_fract_y
_atom_site_fract_z
_atom_site_occupancy
Cu1 0.000 0.000 0.000 1
Cu2 0.000 0.500 0.278 1
Ag1 0.000 0.000 0.523 1
Au1 0.000 0.500 0.749 1

---

What should be chosen as the least stable of them? Choose #x.